1.
Here is an optimized crystal structure of Ba2CdSnO from the Alexandria database. Energies are from PBE.

Summary:
The total magnetization comes out at 0.00 Bohr magnetons per cell. As for the raw formation energy: -1.149 eV per atom.

a = 7.5465 Å, b = 4.6881 Å, c = 9.3270 Å
α = 90.00°, β = 107.86°, γ = 90.00°
Closest atoms and distances in Å follow each position.
Element x y z (fractional)
Ba1 0.1879 0.2500 0.3772  2 O 3.06
Ba2 0.2034 0.2500 0.9644  1 O 2.54
Ba3 0.7966 0.7500 0.0356  1 O 2.54
Ba4 0.8121 0.7500 0.6228  2 O 3.06
Cd1 0.4648 0.7500 0.2508  1 O 2.29
Cd2 0.5352 0.2500 0.7492  1 O 2.29
Sn1 0.3225 0.7500 0.6962  2 Cd 2.80
Sn2 0.6775 0.2500 0.3038  2 Cd 2.80
O1 0.1468 0.7500 0.1584  1 Cd 2.29, 1 Ba 2.54
O2 0.8532 0.2500 0.8416  1 Cd 2.29, 1 Ba 2.54



2.
Here is an optimized crystal structure of Mg2UBiO6 from the Alexandria database. Energies are from PBE.

Summary:
The total magnetization comes out at 1.01 Bohr magnetons per cell. As for the raw formation energy: -1.997 eV per atom.

a = 5.6791 Å, b = 5.6791 Å, c = 5.4423 Å
α = 90.00°, β = 90.00°, γ = 90.00°
Closest atoms and distances in Å follow each position.
Element x y z (fractional)
Mg1 0.0000 0.5000 0.0000  4 O 2.14
Mg2 0.5000 0.0000 0.0000  4 O 2.14
U1 0.0000 0.0000 0.6894  5 O 1.93-2.15
Bi1 0.5000 0.5000 0.6577  1 O 2.09
O1 0.0000 0.0000 0.3355  1 U 1.93
O2 0.2404 0.2404 0.8649  2 Mg 2.14, 1 U 2.15, 1 Bi 2.37
O3 0.2404 0.7596 0.8649  2 Mg 2.14, 1 U 2.15, 1 Bi 2.37
O4 0.5000 0.5000 0.2737  1 Bi 2.09
O5 0.7596 0.2404 0.8649  2 Mg 2.14, 1 U 2.15, 1 Bi 2.37
O6 0.7596 0.7596 0.8649  2 Mg 2.14, 1 U 2.15, 1 Bi 2.37